[1]
Compound: Na3SnF8
Source: the Alexandria database
Functional: PBE-GGA
Structure: relaxed

```
data_Na3SnF8
_chemical_formula_sum 'Na3 Sn1 F8'
_symmetry_space_group_name_H-M 'P m -3 m'
_symmetry_Int_Tables_number 221
_symmetry_space_group_name_Hall '-P 4 2 3'
_cell_length_a 5.392
_cell_length_b 5.392
_cell_length_c 5.392
_cell_angle_alpha 90.00
_cell_angle_beta 90.00
_cell_angle_gamma 90.00
loop_
_atom_site_label
_atom_site_fract_x
_atom_site_fract_y
_atom_site_fract_z
Na1 0.000 0.000 0.500
Sn1 0.500 0.500 0.500
F1 0.272 0.272 0.272
```

## Properties
Uncorrected formation energy, kJ/mol of formula units: -2771
D(E_F), states/eV per cell: 10.168

***

[2]
Compound: Na2SnF2
Source: the Alexandria database
Functional: PBE-GGA
Structure: relaxed

```
data_Na2SnF2
_chemical_formula_sum 'Na4 Sn2 F4'
_symmetry_space_group_name_H-M 'P 4/m b m'
_symmetry_Int_Tables_number 127
_symmetry_space_group_name_Hall '-P 4 2ab'
_cell_length_a 7.400
_cell_length_b 7.400
_cell_length_c 3.165
_cell_angle_alpha 90.00
_cell_angle_beta 90.00
_cell_angle_gamma 90.00
loop_
_atom_site_label
_atom_site_fract_x
_atom_site_fract_y
_atom_site_fract_z
Na1 0.129 0.371 0.000
Sn1 0.000 0.000 0.500
F1 0.134 0.634 0.500
```

## Properties
Energy above the most stable polymorph in this dataset, eV per atom: 0.0051
Uncorrected formation energy, kJ/mol of formula units: -773
D(E_F), states/eV per cell: 3.203

***

[3]
Compound: Na2SnF
Source: the Alexandria database
Functional: PBE-GGA
Structure: relaxed

```
data_Na2SnF
_chemical_formula_sum 'Na6 Sn3 F3'
_symmetry_space_group_name_H-M 'R -3 m'
_symmetry_Int_Tables_number 166
_symmetry_space_group_name_Hall '-R 3 2"'
_cell_length_a 3.3960
_cell_length_b 3.3960
_cell_length_c 24.2522
_cell_angle_alpha 90.00
_cell_angle_beta 90.00
_cell_angle_gamma 120.00
loop_
_atom_site_label
_atom_site_fract_x
_atom_site_fract_y
_atom_site_fract_z
Na1 0.0000 0.0000 0.2226
Sn1 0.0000 0.0000 0.0000
F1 0.0000 0.0000 0.5000
```

## Properties
Energy above the most stable polymorph in this dataset, eV per atom: 0.0000
Uncorrected formation energy, kJ/mol of formula units: -526
D(E_F), states/eV per cell: 4.969

***

[4]
Compound: NaSn3F
Source: the Alexandria database
Functional: PBE-GGA
Structure: relaxed

```
data_NaSn3F
_chemical_formula_sum 'Na1 Sn3 F1'
_symmetry_space_group_name_H-M 'P m -3 m'
_symmetry_Int_Tables_number 221
_symmetry_space_group_name_Hall '-P 4 2 3'
_cell_length_a 5.425
_cell_length_b 5.425
_cell_length_c 5.425
_cell_angle_alpha 90.00
_cell_angle_beta 90.00
_cell_angle_gamma 90.00
loop_
_atom_site_label
_atom_site_fract_x
_atom_site_fract_y
_atom_site_fract_z
Na1 0.000 0.000 0.000
Sn1 0.000 0.000 0.500
F1 0.500 0.500 0.500
```

## Properties
Energy above the most stable polymorph in this dataset, eV per atom: 0.8279
Uncorrected formation energy, kJ/mol of formula units: 187
D(E_F), states/eV per cell: 4.003

***

[5]
Compound: Na3SnF6
Source: the Alexandria database
Functional: PBE-GGA
Structure: relaxed

```
data_Na3SnF6
_chemical_formula_sum 'Na12 Sn4 F24'
_symmetry_space_group_name_H-M 'C m c 21'
_symmetry_Int_Tables_number 36
_symmetry_space_group_name_Hall 'C 2c -2'
_cell_length_a 8.274
_cell_length_b 11.366
_cell_length_c 6.376
_cell_angle_alpha 90.00
_cell_angle_beta 90.00
_cell_angle_gamma 90.00
loop_
_atom_site_label
_atom_site_fract_x
_atom_site_fract_y
_atom_site_fract_z
Na1 0.000 0.156 0.000
Na2 0.226 0.121 0.450
Sn1 0.000 0.368 0.583
F1 0.000 0.237 0.338
F2 0.000 0.454 0.890
F3 0.155 0.238 0.733
F4 0.234 0.058 0.092
```

## Properties
Uncorrected formation energy, kJ/mol of formula units: -2440
D(E_F), states/eV per cell: 6.429

***

[6]
Compound: NaSnF3
Source: the Alexandria database
Functional: PBE-GGA
Structure: relaxed

```
data_NaSnF3
_chemical_formula_sum 'Na4 Sn4 F12'
_symmetry_space_group_name_H-M 'P 1 21/c 1'
_symmetry_Int_Tables_number 14
_symmetry_space_group_name_Hall '-P 2ybc'
_cell_length_a 8.119
_cell_length_b 5.966
_cell_length_c 8.546
_cell_angle_alpha 90.00
_cell_angle_beta 119.70
_cell_angle_gamma 90.00
loop_
_atom_site_label
_atom_site_fract_x
_atom_site_fract_y
_atom_site_fract_z
Na1 0.102 0.244 0.491
Sn1 0.304 0.727 0.409
F1 0.020 0.607 0.335
F2 0.210 0.589 0.144
F3 0.375 0.086 0.046
```

## Properties
Energy above the most stable polymorph in this dataset, eV per atom: 0.0000
Uncorrected formation energy, kJ/mol of formula units: -1197
D(E_F), states/eV per cell: 0.000

***

[7]
Compound: NaSnF2
Source: the Alexandria database
Functional: PBE-GGA
Structure: relaxed

```
data_NaSnF2
_chemical_formula_sum 'Na4 Sn4 F8'
_symmetry_space_group_name_H-M 'F m -3 m'
_symmetry_Int_Tables_number 225
_symmetry_space_group_name_Hall '-F 4 2 3'
_cell_length_a 6.440
_cell_length_b 6.440
_cell_length_c 6.440
_cell_angle_alpha 90.00
_cell_angle_beta 90.00
_cell_angle_gamma 90.00
loop_
_atom_site_label
_atom_site_fract_x
_atom_site_fract_y
_atom_site_fract_z
Na1 0.000 0.000 0.000
Sn1 0.000 0.000 0.500
F1 0.250 0.250 0.250
```

## Properties
Energy above the most stable polymorph in this dataset, eV per atom: 0.6300
Uncorrected formation energy, kJ/mol of formula units: -597
D(E_F), states/eV per cell: 8.807

***

[8]
Compound: Na5Sn3F12
Source: the Alexandria database
Functional: PBE-GGA
Structure: relaxed

```
data_Na5Sn3F12
_chemical_formula_sum 'Na40 Sn24 F96'
_symmetry_space_group_name_H-M 'I a -3 d'
_symmetry_Int_Tables_number 230
_symmetry_space_group_name_Hall '-I 4bd 2c 3'
_cell_length_a 13.517
_cell_length_b 13.517
_cell_length_c 13.517
_cell_angle_alpha 90.00
_cell_angle_beta 90.00
_cell_angle_gamma 90.00
loop_
_atom_site_label
_atom_site_fract_x
_atom_site_fract_y
_atom_site_fract_z
Na1 0.000 0.000 0.000
Na2 0.000 0.250 0.375
Sn1 0.000 0.250 0.125
F1 0.019 0.071 0.654
```

## Properties
Uncorrected formation energy, kJ/mol of formula units: -4663
D(E_F), states/eV per cell: 81.274